# PBE-GGA TaZn2Ru, relaxed
# theoretical density: 11090 kg/m³
# relative energy among the computed polymorphs: 0 meV per atom
# energy relative to the elements: -114.2 meV/atom
# total DFT energy (no corrections): -6.03 eV per atom
data_TaZn2Ru
_chemical_formula_sum 'Ta1 Zn2 Ru1'
_space_group_name_H-M_alt 'P 4 m m'
_space_group_IT_number 99
_cell_length_a 3.182
_cell_length_b 3.182
_cell_length_c 6.104
_cell_angle_alpha 90.00
_cell_angle_beta 90.00
_cell_angle_gamma 90.00
loop_
_space_group_symop_operation_xyz
'x,y,z'
'-y,x,z'
'-x,-y,z'
'y,-x,z'
'-x,y,z'
'y,x,z'
'x,-y,z'
'-y,-x,z'
loop_
_atom_site_label
_atom_site_type_symbol
_atom_site_fract_x
_atom_site_fract_y
_atom_site_fract_z
_atom_site_occupancy
Ta1 Ta 0.000 0.000 0.000 1
Zn1 Zn 0.000 0.000 0.516 1
Zn2 Zn 0.500 0.500 0.291 1
Ru1 Ru 0.500 0.500 0.781 1

# PBE-GGA Ac4La2H2Pb3, relaxed
# theoretical density: 8338 kg/m³
# total DFT energy (no corrections): -4.38 eV per atom
data_Ac4La2H2Pb3
_chemical_formula_sum 'Ac8 La4 H4 Pb6'
_space_group_name_H-M_alt 'I 4/m m m'
_space_group_IT_number 139
_space_group_name_Hall '-I 4 2'
_cell_length_a 5.175
_cell_length_b 5.175
_cell_length_c 26.913
_cell_angle_alpha 90.00
_cell_angle_beta 90.00
_cell_angle_gamma 90.00
loop_
_atom_site_label
_atom_site_type_symbol
_atom_site_fract_x
_atom_site_fract_y
_atom_site_fract_z
_atom_site_occupancy
Ac1 Ac 0.000 0.500 0.085 1
La1 La 0.000 0.000 0.201 1
H1 H 0.000 0.000 0.106 1
Pb1 Pb 0.000 0.000 0.323 1
Pb2 Pb 0.000 0.000 0.500 1

# PBE-GGA Pm3Nd6Tm2Tl, relaxed
# theoretical density: 7696 kg/m³
# energy relative to the elements: -2.7 meV/atom
# total DFT energy (no corrections): -4.52 eV per atom
data_Pm3Nd6Tm2Tl
_chemical_formula_sum 'Pm6 Nd12 Tm4 Tl2'
_space_group_name_H-M_alt 'C 1 2/m 1'
_space_group_IT_number 12
_cell_length_a 6.264
_cell_length_b 10.901
_cell_length_c 11.842
_cell_angle_alpha 90.00
_cell_angle_beta 100.48
_cell_angle_gamma 90.00
loop_
_space_group_symop_operation_xyz
'x,y,z'
'-x,-y,-z'
'-x,y,-z'
'x,-y,z'
'x+1/2,y+1/2,z'
'-x+1/2,-y+1/2,-z'
'-x+1/2,y+1/2,-z'
'x+1/2,-y+1/2,z'
loop_
_atom_site_label
_atom_site_type_symbol
_atom_site_fract_x
_atom_site_fract_y
_atom_site_fract_z
_atom_site_occupancy
Pm1 Pm 0.000 0.000 0.000 1
Pm2 Pm 0.000 0.331 0.000 1
Nd1 Nd 0.243 0.336 0.743 1
Nd2 Nd 0.247 0.500 0.255 1
Tm1 Tm 0.000 0.166 0.500 1
Tl1 Tl 0.000 0.500 0.500 1

# PBE-GGA Sr2MgTlF, relaxed
# ΔE_f (raw): -1.16 eV per atom
# theoretical density: 5111 kg/m³
# total DFT energy (no corrections): -3.00 eV per atom
data_Sr2MgTlF
_chemical_formula_sum 'Sr2 Mg1 Tl1 F1'
_space_group_name_H-M_alt 'P 4/m m m'
_space_group_IT_number 123
_space_group_name_Hall '-P 4 2'
_cell_length_a 5.337
_cell_length_b 5.337
_cell_length_c 4.823
_cell_angle_alpha 90.00
_cell_angle_beta 90.00
_cell_angle_gamma 90.00
loop_
_atom_site_label
_atom_site_type_symbol
_atom_site_fract_x
_atom_site_fract_y
_atom_site_fract_z
_atom_site_occupancy
Sr1 Sr 0.000 0.500 0.000 1
Mg1 Mg 0.000 0.000 0.500 1
Tl1 Tl 0.500 0.500 0.500 1
F1 F 0.000 0.000 0.000 1

# PBE-GGA PmGdHo2, relaxed
# theoretical density: 8171 kg/m³
# relative energy among the computed polymorphs: 0 meV per atom
# energy relative to the elements: 17.0 meV/atom
# total DFT energy (no corrections): -6.98 eV per atom
data_PmGdHo2
_chemical_formula_sum 'Pm1 Gd1 Ho2'
_space_group_name_H-M_alt 'P 4/m m m'
_space_group_IT_number 123
_space_group_name_Hall '-P 4 2'
_cell_length_a 5.059
_cell_length_b 5.059
_cell_length_c 5.020
_cell_angle_alpha 90.00
_cell_angle_beta 90.00
_cell_angle_gamma 90.00
loop_
_atom_site_label
_atom_site_type_symbol
_atom_site_fract_x
_atom_site_fract_y
_atom_site_fract_z
_atom_site_occupancy
Pm1 Pm 0.000 0.000 0.000 1
Gd1 Gd 0.500 0.500 0.000 1
Ho1 Ho 0.000 0.500 0.500 1

# PBE-GGA Ag2Bi2Cl7, relaxed
# ΔE_f (raw): -0.64 eV per atom
# theoretical density: 4082 kg/m³
# total DFT energy (no corrections): -3.04 eV per atom
data_Ag2Bi2Cl7
_chemical_formula_sum 'Ag4 Bi4 Cl14'
_space_group_name_H-M_alt 'C 1 2/m 1'
_space_group_IT_number 12
_cell_length_a 12.003
_cell_length_b 9.157
_cell_length_c 6.633
_cell_angle_alpha 90.00
_cell_angle_beta 100.18
_cell_angle_gamma 90.00
loop_
_space_group_symop_operation_xyz
'x,y,z'
'-x,-y,-z'
'-x,y,-z'
'x,-y,z'
'x+1/2,y+1/2,z'
'-x+1/2,-y+1/2,-z'
'-x+1/2,y+1/2,-z'
'x+1/2,-y+1/2,z'
loop_
_atom_site_label
_atom_site_type_symbol
_atom_site_fract_x
_atom_site_fract_y
_atom_site_fract_z
_atom_site_occupancy
Ag1 Ag 0.000 0.177 0.000 1
Bi1 Bi 0.220 0.500 0.423 1
Cl1 Cl 0.000 0.500 0.500 1
Cl2 Cl 0.094 0.000 0.742 1
Cl3 Cl 0.180 0.227 0.254 1

# PBE-GGA Pu2TlHg, relaxed
# theoretical density: 13681 kg/m³
# energy relative to the elements: -28.2 meV/atom
# total DFT energy (no corrections): -7.86 eV per atom
data_Pu2TlHg
_chemical_formula_sum 'Pu2 Tl1 Hg1'
_space_group_name_H-M_alt 'P 4/m m m'
_space_group_IT_number 123
_space_group_name_Hall '-P 4 2'
_cell_length_a 5.701
_cell_length_b 5.701
_cell_length_c 3.335
_cell_angle_alpha 90.00
_cell_angle_beta 90.00
_cell_angle_gamma 90.00
loop_
_atom_site_label
_atom_site_type_symbol
_atom_site_fract_x
_atom_site_fract_y
_atom_site_fract_z
_atom_site_occupancy
Pu1 Pu 0.000 0.500 0.000 1
Tl1 Tl 0.000 0.000 0.500 1
Hg1 Hg 0.500 0.500 0.500 1

# PBE-GGA RbGaAgHg2, relaxed
# theoretical density: 7097 kg/m³
# relative energy among the computed polymorphs: 0 meV per atom
# energy relative to the elements: -66.1 meV/atom
# total DFT energy (no corrections): -1.56 eV per atom
data_RbGaAgHg2
_chemical_formula_sum 'Rb1 Ga1 Ag1 Hg2'
_space_group_name_H-M_alt 'P 4/m m m'
_space_group_IT_number 123
_space_group_name_Hall '-P 4 2'
_cell_length_a 5.464
_cell_length_b 5.464
_cell_length_c 5.206
_cell_angle_alpha 90.00
_cell_angle_beta 90.00
_cell_angle_gamma 90.00
loop_
_atom_site_label
_atom_site_type_symbol
_atom_site_fract_x
_atom_site_fract_y
_atom_site_fract_z
_atom_site_occupancy
Rb1 Rb 0.000 0.000 0.000 1
Ga1 Ga 0.500 0.500 0.500 1
Ag1 Ag 0.500 0.500 0.000 1
Hg1 Hg 0.000 0.500 0.500 1

Number 1: density of states at the Fermi level 3.5 states/eV per cell. Number 2: density of states at the Fermi level 26.1 states/eV per cell. Number 3: density of states at the Fermi level 30.7 states/eV per cell. Number 4: density of states at the Fermi level 2.1 states/eV per cell. Number 5: density of states at the Fermi level 6.4 states/eV per cell. Number 6: density of states at the Fermi level 6.5 states/eV per cell. Number 7: density of states at the Fermi level 16.9 states/eV per cell. Number 8: density of states at the Fermi level 1.5 states/eV per cell.